(1)
Entry from Alexandria via LeMat-Bulk: an optimized crystal structure of Ga3HAu (PBE).

abc: 4.275 4.275 4.275
angles: 90.00 90.00 90.00
Space group Pm-3m (No. 221)
Unique sites:
Ga 0.000 0.000 0.500
H 0.000 0.000 0.000
Au 0.500 0.500 0.500

Summary:
- Energy relative to the lowest polymorph listed for this composition: 0.000 kcal/mol of atoms

***

(2)
Entry from Alexandria via LeMat-Bulk: an optimized crystal structure of GaH2Au (PBE).

abc: 5.127 5.127 8.293
angles: 90.00 90.00 90.00
Space group I-42d (No. 122)
Unique sites:
Ga 0.000 0.000 0.000
H 0.143 0.250 0.625
Au 0.000 0.000 0.500

Summary:
- Energy relative to the lowest polymorph listed for this composition: 0.000 kcal/mol of atoms